[1]
Compound: Ba2SbRu
Source: Alexandria
Functional: PBE
Structure: relaxed

## Properties
For the total DFT energy (no corrections), the calculation gives -0.3356 Ry per atom. The value obtained for the formation energy from raw total energies is -0.256 eV/atom. As for the symmetry: Amm2. The value obtained for the theoretical density is 5.90 Mg/m³.

Cell: 4.6516 5.0978 6.4361 Å, 66.65 90.00 90.00°
Last column: nearest neighbours and their distance in Å.
Sites, in units of the cell vectors:
Ba  0.0000  0.9838  0.9074  3 Ru 3.41-3.64, 4 Sb 3.60
Ba  0.5000  0.2685  0.3383  3 Sb 3.45-3.59, 4 Ru 3.62
Ru  0.0000  0.6756  0.5235  2 Sb 2.63
Sb  0.5000  0.5721  0.7309  2 Ru 2.63

=====

[2]
Compound: CoOs2Se
Source: Alexandria
Functional: PBE
Structure: relaxed

## Properties
For the total DFT energy (no corrections), the calculation gives -0.5551 Ry per atom. The value obtained for the formation energy from raw total energies is 0.709 eV/atom. As for the symmetry: I-4m2. The value obtained for the theoretical density is 15.34 Mg/m³.

Cell: 4.6017 4.6017 4.6017 Å, 129.82 129.82 73.70°
Last column: nearest neighbours and their distance in Å.
Sites, in units of the cell vectors:
Co  0.7500  0.2500  0.5000  4 Se 2.68, 8 Os 2.68-2.76
Os  0.0000  0.0000  0.0000  4 Os 2.68, 4 Co 2.68, 4 Se 2.76
Os  0.2500  0.7500  0.5000  4 Os 2.68, 4 Se 2.68, 4 Co 2.76
Se  0.5000  0.5000  0.0000  4 Co 2.68, 8 Os 2.68-2.76

=====

[3]
Compound: Bi5PdRh
Source: Alexandria
Functional: PBE
Structure: relaxed

## Properties
For the total DFT energy (no corrections), the calculation gives -0.3367 Ry per atom. As for the symmetry: C2/c. Its formation energy is -0.02 eV per atom. The value obtained for the theoretical density is 9.96 Mg/m³.

Cell: 6.9772 6.9772 10.0358 Å, 70.19 70.19 70.18°
Last column: nearest neighbours and their distance in Å.
Sites, in units of the cell vectors:
Bi  0.6748  0.8181  0.0634  1 Pd 2.76, 1 Rh 2.78
Bi  0.4390  0.7530  0.4215  1 Rh 2.83, 1 Pd 2.95
Bi  0.8181  0.6748  0.5634  1 Pd 2.76, 1 Rh 2.78
Bi  0.8631  0.1369  0.2500  1 Rh 2.66, 2 Pd 2.74
Bi  0.2470  0.5610  0.0785  1 Rh 2.83, 1 Pd 2.95
Bi  0.7530  0.4390  0.9215  1 Rh 2.83, 1 Pd 2.95
Bi  0.1369  0.8631  0.7500  1 Rh 2.66, 2 Pd 2.74
Bi  0.1819  0.3252  0.4366  1 Pd 2.76, 1 Rh 2.78
Bi  0.5610  0.2470  0.5785  1 Rh 2.83, 1 Pd 2.95
Bi  0.3252  0.1819  0.9366  1 Pd 2.76, 1 Rh 2.78
Pd  0.0000  0.0000  0.0000  6 Bi 2.74-2.95
Pd  0.0000  0.0000  0.5000  6 Bi 2.74-2.95
Rh  0.5309  0.4691  0.2500  5 Bi 2.66-2.83
Rh  0.4691  0.5309  0.7500  5 Bi 2.66-2.83

=====

[4]
Compound: CaCo2Ni
Source: Alexandria
Functional: PBE
Structure: relaxed

## Properties
For the total DFT energy (no corrections), the calculation gives -0.3999 Ry per atom. As for the symmetry: Cm. Its formation energy is 0.06 eV per atom. The value obtained for the theoretical density is 5.17 Mg/m³.

Cell: 4.0286 4.0286 5.4636 Å, 68.44 68.44 60.00°
Last column: nearest neighbours and their distance in Å.
Sites, in units of the cell vectors:
Ni  0.5600  0.5600  0.3204  6 Co 2.35-2.42
Ca  0.7492  0.7492  0.7510  1 Co 2.81, 1 Ni 2.82
Co  0.9390  0.9390  0.1832  3 Co 2.35, 3 Ni 2.42
Co  0.2517  0.2517  0.2454  3 Co 2.35, 3 Ni 2.35-2.36

=====

[5]
Compound: ScCd2Ag2
Source: Alexandria
Functional: PBE
Structure: relaxed

## Properties
For the total DFT energy (no corrections), the calculation gives -0.2041 Ry per atom. The calculation puts the energy above the most stable polymorph in this dataset at 0.83 eV/f.u. As for the symmetry: I4/mmm. Its formation energy is 0.00 eV per atom. The value obtained for the theoretical density is 7.42 Mg/m³.

Cell: 3.9809 3.9809 7.4152 Å, 74.43 74.43 90.00°
Last column: nearest neighbours and their distance in Å.
Sites, in units of the cell vectors:
Sc  0.0000  0.0000  0.0000  8 Cd 3.14
Ag  0.7500  0.2500  0.5000  4 Ag 2.81, 4 Cd 2.85
Ag  0.2500  0.7500  0.5000  4 Ag 2.81, 4 Cd 2.85
Cd  0.3984  0.3984  0.2032  1 Cd 2.79, 4 Ag 2.85
Cd  0.6016  0.6016  0.7968  1 Cd 2.79, 4 Ag 2.85

=====

[6]
Compound: NaTmBi2S4
Source: Alexandria
Functional: PBE
Structure: relaxed

## Properties
For the total DFT energy (no corrections), the calculation gives -0.3398 Ry per atom. The value obtained for the formation energy from raw total energies is -0.866 eV/atom. As for the symmetry: P2/m. The value obtained for the theoretical density is 6.14 Mg/m³.

Cell: 3.8790 7.0971 8.4594 Å, 120.97 90.00 90.00°
Last column: nearest neighbours and their distance in Å.
Sites, in units of the cell vectors:
Na  0.0000  0.0000  0.0000  6 S 2.81-2.88
Tm  0.5000  0.5000  0.0000  6 S 2.68-2.73
Bi  0.5000  0.0000  0.5000  4 S 2.87
Bi  0.0000  0.5000  0.5000  4 S 2.81
S  0.5000  0.3325  0.2203  1 Tm 2.68, 2 Bi 2.81, 2 Na 2.88
S  0.5000  0.6675  0.7797  1 Tm 2.68, 2 Bi 2.81, 2 Na 2.88
S  0.0000  0.7958  0.2093  2 Tm 2.73, 1 Na 2.81, 2 Bi 2.87
S  0.0000  0.2042  0.7907  2 Tm 2.73, 1 Na 2.81, 2 Bi 2.87

=====

[7]
Compound: LiInRe2
Source: Alexandria
Functional: PBE
Structure: relaxed

## Properties
For the total DFT energy (no corrections), the calculation gives -0.4966 Ry per atom. As for the symmetry: R-3m. Its formation energy is 0.63 eV per atom. The value obtained for the theoretical density is 12.55 Mg/m³.

Cell: 9.5981 9.5981 9.5981 Å, 16.93 16.93 16.93°
Last column: nearest neighbours and their distance in Å.
Sites, in units of the cell vectors:
In  0.2500  0.2500  0.2500  6 In 2.83, 6 Re 2.89
Li  0.7500  0.7500  0.7500  6 Li 2.83, 6 Re 2.85
Re  0.0009  0.0009  0.0009  6 Re 2.83, 3 Li 2.85, 3 In 2.89
Re  0.4991  0.4991  0.4991  6 Re 2.83, 3 Li 2.85, 3 In 2.89

=====

[8]
Compound: Tm2TcSn
Source: Alexandria
Functional: PBE
Structure: relaxed

## Properties
For the total DFT energy (no corrections), the calculation gives -0.4555 Ry per atom. The calculation puts the energy above the most stable polymorph in this dataset at 0.00 eV/f.u. As for the symmetry: P4/mmm. Its formation energy is -0.37 eV per atom. The value obtained for the theoretical density is 10.29 Mg/m³.

Cell: 3.5885 3.5885 6.9498 Å, 90.00 90.00 90.00°
Last column: nearest neighbours and their distance in Å.
Sites, in units of the cell vectors:
Tm  0.0000  0.0000  0.7778  4 Tc 2.97, 1 Tm 3.09, 4 Sn 3.19
Tm  0.0000  0.0000  0.2222  4 Tc 2.97, 1 Tm 3.09, 4 Sn 3.19
Sn  0.5000  0.5000  0.5000  8 Tm 3.19, 2 Tc 3.47
Tc  0.5000  0.5000  0.0000  8 Tm 2.97

=====

[9]
Compound: ZrHg2Pb
Source: Alexandria
Functional: PBE
Structure: relaxed

## Properties
For the total DFT energy (no corrections), the calculation gives -0.2366 Ry per atom. As for the symmetry: R-3m. Its formation energy is 0.00 eV per atom. The value obtained for the theoretical density is 11.59 Mg/m³.

Cell: 10.5793 10.5793 10.5793 Å, 18.14 18.14 18.14°
Last column: nearest neighbours and their distance in Å.
Sites, in units of the cell vectors:
Hg  0.0070  0.0070  0.0070  3 Zr 3.06, 6 Hg 3.34, 3 Pb 3.41
Hg  0.4930  0.4930  0.4930  3 Zr 3.06, 6 Hg 3.34, 3 Pb 3.41
Pb  0.2500  0.2500  0.2500  6 Pb 3.34, 6 Hg 3.41
Zr  0.7500  0.7500  0.7500  6 Hg 3.06, 6 Zr 3.34

=====

[10]
Compound: NaPr2Ag4
Source: Alexandria
Functional: PBE
Structure: relaxed

## Properties
For the total DFT energy (no corrections), the calculation gives -0.2468 Ry per atom. As for the symmetry: C2/m. Its formation energy is -0.17 eV per atom. The value obtained for the theoretical density is 7.12 Mg/m³.

Cell: 4.9365 4.9365 9.9561 Å, 60.11 60.11 59.93°
Last column: nearest neighbours and their distance in Å.
Sites, in units of the cell vectors:
Na  0.0000  0.0000  0.0000  6 Ag 2.96
Pr  0.8593  0.8593  0.7107  10 Ag 3.17-3.38, 1 Pr 3.43
Pr  0.1407  0.1407  0.2893  10 Ag 3.17-3.38, 1 Pr 3.43
Ag  0.6578  0.6578  0.5131  4 Ag 2.86-3.15
Ag  0.3422  0.3422  0.4869  4 Ag 2.86-3.15
Ag  0.6001  0.6001  0.1001  3 Na 2.96, 4 Ag 3.15-3.29, 4 Pr 3.17-3.24
Ag  0.3999  0.3999  0.8999  3 Na 2.96, 4 Ag 3.15-3.29, 4 Pr 3.17-3.24

=====

[11]
Compound: Rb2Cd2InAu
Source: Alexandria
Functional: PBE
Structure: relaxed

## Properties
For the total DFT energy (no corrections), the calculation gives -0.1285 Ry per atom. As for the symmetry: Ibam. Its formation energy is -0.12 eV per atom. The value obtained for the theoretical density is 5.27 Mg/m³.

Cell: 7.6640 7.2340 9.6106 Å, 112.11 113.50 90.00°
Last column: nearest neighbours and their distance in Å.
Sites, in units of the cell vectors:
Rb  0.6662  0.9047  0.3324  6 Cd 3.67-4.06, 2 Au 3.71, 2 In 3.79
Rb  0.1662  0.4278  0.3324  6 Cd 3.67-4.06, 2 Au 3.71, 2 In 3.79
Rb  0.8338  0.5722  0.6676  6 Cd 3.67-4.06, 2 Au 3.71, 2 In 3.79
Rb  0.3338  0.0953  0.6676  6 Cd 3.67-4.06, 2 Au 3.71, 2 In 3.79
Cd  0.4181  0.6518  0.8361  2 Au 2.88, 2 In 3.02
Cd  0.5819  0.3482  0.1639  2 Au 2.88, 2 In 3.02
Cd  0.0819  0.8157  0.1639  2 Au 2.88, 2 In 3.02
Cd  0.9181  0.1843  0.8361  2 Au 2.88, 2 In 3.02
In  0.2500  0.0000  0.0000  4 Cd 3.02
In  0.7500  0.0000  0.0000  4 Cd 3.02
Au  0.7500  0.5000  0.0000  4 Cd 2.88
Au  0.2500  0.5000  0.0000  4 Cd 2.88

=====

[12]
Compound: Tb3Pm2Pb4
Source: Alexandria
Functional: PBE
Structure: relaxed

## Properties
For the total DFT energy (no corrections), the calculation gives -0.3458 Ry per atom. The calculation puts the energy above the most stable polymorph in this dataset at 0.00 eV/f.u. As for the symmetry: C2/m. Its formation energy is -0.46 eV per atom. The value obtained for the theoretical density is 9.59 Mg/m³.

Cell: 4.8946 6.8245 8.8424 Å, 102.82 106.07 90.00°
Last column: nearest neighbours and their distance in Å.
Sites, in units of the cell vectors:
Tb  0.1097  0.5739  0.2195  7 Pb 3.30-3.42, 1 Tb 3.63
Tb  0.8903  0.4261  0.7805  7 Pb 3.30-3.42, 1 Tb 3.63
Tb  0.0000  0.0000  0.0000  4 Pb 3.10
Pm  0.6670  0.0792  0.3340  5 Pb 3.16-3.37
Pm  0.3330  0.9208  0.6660  5 Pb 3.16-3.37
Pb  0.4944  0.7180  0.9888  1 Pb 3.02, 4 Tb 3.10-3.39, 2 Pm 3.35-3.37
Pb  0.2569  0.3262  0.5139  3 Pm 3.16-3.31, 3 Tb 3.30-3.33, 2 Pb 3.45
Pb  0.5056  0.2820  0.0112  1 Pb 3.02, 4 Tb 3.10-3.39, 2 Pm 3.35-3.37
Pb  0.7431  0.6738  0.4861  3 Pm 3.16-3.31, 3 Tb 3.30-3.33, 2 Pb 3.45

=====

Number 1: N(E_F) 3.6 states/eV/f.u.. Number 2: N(E_F) 4.5 states/eV/f.u.. Number 3: N(E_F) 3.6 states/eV/f.u.. Number 4: N(E_F) 4.5 states/eV/f.u.. Number 5: N(E_F) 3.5 states/eV/f.u.. Number 6: N(E_F) 3.2 states/eV/f.u.. Number 7: N(E_F) 3.1 states/eV/f.u.. Number 8: N(E_F) 2.3 states/eV/f.u.. Number 9: N(E_F) 2.2 states/eV/f.u.. Number 10: N(E_F) 4.8 states/eV/f.u.. Number 11: N(E_F) 2.1 states/eV/f.u.. Number 12: N(E_F) 5.8 states/eV/f.u..